[1]
Tl3CrCu2F9 | PBE+U | optimized geometry

Lattice parameters (Å, degrees): 5.9563 5.9563 7.3124 90.00 90.00 120.00
With the nearest neighbours (Å) after each atom.
Atoms (fractional coordinates):
Tl  0.3333  0.6667  0.6847  12 F 2.88-3.08
Tl  0.0000  0.0000  0.0000  12 F 2.98-3.00
Tl  0.6667  0.3333  0.3153  12 F 2.88-3.08
Cr  0.0000  0.0000  0.5000  6 F 1.98
Cu  0.3333  0.6667  0.1623  6 F 2.09-2.26
Cu  0.6667  0.3333  0.8377  6 F 2.09-2.26
F  0.8432  0.1568  0.6552  1 Cr 1.98
F  0.8432  0.6864  0.6552  1 Cr 1.98
F  0.3136  0.1568  0.6552  1 Cr 1.98
F  0.6864  0.8432  0.3448  1 Cr 1.98
F  0.1568  0.3136  0.3448  1 Cr 1.98
F  0.1568  0.8432  0.3448  1 Cr 1.98
F  0.5000  0.0000  0.0000  2 Cu 2.09
F  0.0000  0.5000  0.0000  2 Cu 2.09
F  0.5000  0.5000  0.0000  2 Cu 2.09

## Properties
E_tot ... -68.46 eV for the cell shown
Density of states at the Fermi level ... 3.4 states/eV/cell

---

[2]
CuMoPbF6 | PBE+U | optimized geometry

Lattice parameters (Å, degrees): 6.0832 6.0832 8.6916 90.00 90.00 120.00
With the nearest neighbours (Å) after each atom.
Atoms (fractional coordinates):
Cu  0.0000  0.0000  0.0000  6 F 2.34
Cu  0.0000  0.0000  0.5000  6 F 2.34
Mo  0.6667  0.3333  0.2500  6 F 2.12
Mo  0.3333  0.6667  0.7500  6 F 2.12
Pb  0.3333  0.6667  0.2500  6 F 2.49
Pb  0.6667  0.3333  0.7500  6 F 2.49
F  0.6822  0.6355  0.1207  1 Mo 2.12, 1 Cu 2.34
F  0.9533  0.3178  0.1207  1 Mo 2.12, 1 Cu 2.34
F  0.3178  0.9533  0.6207  1 Mo 2.12, 1 Cu 2.34
F  0.0467  0.6822  0.8793  1 Mo 2.12, 1 Cu 2.34
F  0.3645  0.3178  0.3793  1 Mo 2.12, 1 Cu 2.34
F  0.9533  0.6355  0.3793  1 Mo 2.12, 1 Cu 2.34
F  0.6355  0.9533  0.8793  1 Mo 2.12, 1 Cu 2.34
F  0.6822  0.0467  0.3793  1 Mo 2.12, 1 Cu 2.34
F  0.0467  0.3645  0.6207  1 Mo 2.12, 1 Cu 2.34
F  0.3645  0.0467  0.1207  1 Mo 2.12, 1 Cu 2.34
F  0.6355  0.6822  0.6207  1 Mo 2.12, 1 Cu 2.34
F  0.3178  0.3645  0.8793  1 Mo 2.12, 1 Cu 2.34

## Properties
E_tot ... -89.17 eV for the cell shown